A plane-wave DFT calculation with PBE+U was carried out for a geometry-optimized Ni5Pd3O12 structure.

CIF file:
```
data_Ni5Pd3O12
_chemical_formula_sum 'Ni5 Pd3 O12'
_space_group_name_H-M_alt 'P -6 2 m'
_space_group_IT_number 189
_space_group_name_Hall 'P -6 -2'
_cell_length_a 8.9870
_cell_length_b 8.9870
_cell_length_c 3.0133
_cell_angle_alpha 90.00
_cell_angle_beta 90.00
_cell_angle_gamma 120.00
loop_
_atom_site_label
_atom_site_fract_x
_atom_site_fract_y
_atom_site_fract_z
Ni1 0.0000 0.3332 0.0000
Ni2 0.3333 0.6667 0.0000
Pd1 0.0000 0.6896 0.5000
O1 0.0000 0.5487 0.0000
O2 0.0000 0.8331 0.0000
O3 0.1893 0.4492 0.5000
```

Calculated values
total moment: 10.97 μB/f.u.
E_tot: -4.880 eV per atom